# LaIr2Br PBE relaxed
# Energy relative to the elements, uncorrected = -0.032 eV per atom
# Space group = C2/m (12)
# Theoretical density = 11.7 Mg/m³
# Crystal system = monoclinic
# Volume = 21.336 A^3/atom
data_LaIr2Br
_chemical_formula_sum 'La1 Ir2 Br1'
_space_group_name_H-M_alt 'P 1'
_space_group_IT_number 1
_cell_length_a 5.593
_cell_length_b 5.593
_cell_length_c 4.844
_cell_angle_alpha 86.40
_cell_angle_beta 86.40
_cell_angle_gamma 34.37
loop_
_space_group_symop_operation_xyz
'x,y,z'
loop_
_atom_site_label
_atom_site_type_symbol
_atom_site_fract_x
_atom_site_fract_y
_atom_site_fract_z
Ir1 Ir 0.475 0.475 0.544
La1 La 0.750 0.750 0.750
Ir2 Ir 0.025 0.025 0.956
Br1 Br 0.250 0.250 0.250

# La2IrBr PBE relaxed
# Energy relative to the elements, uncorrected = -0.895 eV per atom
# Space group = Amm2 (38)
# Theoretical density = 8.5 Mg/m³
# Crystal system = orthorhombic
# Volume = 26.816 A^3/atom
data_La2IrBr
_chemical_formula_sum 'La2 Ir1 Br1'
_space_group_name_H-M_alt 'P 1'
_space_group_IT_number 1
_cell_length_a 6.234
_cell_length_b 6.234
_cell_length_c 4.560
_cell_angle_alpha 90.00
_cell_angle_beta 90.00
_cell_angle_gamma 37.25
loop_
_space_group_symop_operation_xyz
'x,y,z'
loop_
_atom_site_label
_atom_site_type_symbol
_atom_site_fract_x
_atom_site_fract_y
_atom_site_fract_z
La1 La 0.015 0.015 0.125
La2 La 0.754 0.754 0.625
Ir1 Ir 0.244 0.244 0.125
Br1 Br 0.487 0.487 0.625

# La2IrBr PBE relaxed
# Energy relative to the elements, uncorrected = -1.240 eV per atom
# Space group = R-3m (166)
# Theoretical density = 7.5 Mg/m³
# Crystal system = trigonal
# Volume = 30.330 A^3/atom
data_La2IrBr
_chemical_formula_sum 'La2 Ir1 Br1'
_space_group_name_H-M_alt 'P 1'
_space_group_IT_number 1
_cell_length_a 4.213
_cell_length_b 4.213
_cell_length_c 8.260
_cell_angle_alpha 75.25
_cell_angle_beta 75.25
_cell_angle_gamma 59.98
loop_
_space_group_symop_operation_xyz
'x,y,z'
loop_
_atom_site_label
_atom_site_type_symbol
_atom_site_fract_x
_atom_site_fract_y
_atom_site_fract_z
Br1 Br 0.750 0.750 0.750
La1 La 0.519 0.519 0.445
Ir1 Ir 0.250 0.250 0.250
La2 La 0.981 0.981 0.055

# LaIr4Br PBE relaxed
# Energy relative to the elements, uncorrected = 0.122 eV per atom
# Space group = F-43m (216)
# Theoretical density = 14.5 Mg/m³
# Crystal system = cubic
# Volume = 18.850 A^3/atom
data_LaIr4Br
_chemical_formula_sum 'La1 Ir4 Br1'
_space_group_name_H-M_alt 'P 1'
_space_group_IT_number 1
_cell_length_a 5.428
_cell_length_b 5.428
_cell_length_c 5.428
_cell_angle_alpha 60.00
_cell_angle_beta 60.00
_cell_angle_gamma 60.00
loop_
_space_group_symop_operation_xyz
'x,y,z'
loop_
_atom_site_label
_atom_site_type_symbol
_atom_site_fract_x
_atom_site_fract_y
_atom_site_fract_z
Ir1 Ir 0.874 0.375 0.375
Ir2 Ir 0.375 0.375 0.375
Ir3 Ir 0.375 0.375 0.874
Ir4 Ir 0.375 0.874 0.375
La1 La 0.750 0.750 0.750
Br1 Br 0.000 0.000 0.000

# La2IrBr PBE relaxed
# Energy relative to the elements, uncorrected = -0.977 eV per atom
# Space group = Imm2 (44)
# Theoretical density = 7.8 Mg/m³
# Crystal system = orthorhombic
# Volume = 29.443 A^3/atom
data_La2IrBr
_chemical_formula_sum 'La2 Ir1 Br1'
_space_group_name_H-M_alt 'P 1'
_space_group_IT_number 1
_cell_length_a 8.450
_cell_length_b 8.450
_cell_length_c 8.450
_cell_angle_alpha 153.97
_cell_angle_beta 153.54
_cell_angle_gamma 37.45
loop_
_space_group_symop_operation_xyz
'x,y,z'
loop_
_atom_site_label
_atom_site_type_symbol
_atom_site_fract_x
_atom_site_fract_y
_atom_site_fract_z
Br1 Br 0.450 0.450 0.000
La1 La 0.779 0.279 0.500
La2 La 0.070 0.070 0.000
Ir1 Ir 0.201 0.701 0.500

# La6Ir3Br2 PBE relaxed
# Energy relative to the elements, uncorrected = -1.040 eV per atom
# Space group = C2/m (12)
# Theoretical density = 7.3 Mg/m³
# Crystal system = monoclinic
# Volume = 32.582 A^3/atom
data_La6Ir3Br2
_chemical_formula_sum 'La6 Ir3 Br2'
_space_group_name_H-M_alt 'P 1'
_space_group_IT_number 1
_cell_length_a 7.331
_cell_length_b 7.341
_cell_length_c 8.066
_cell_angle_alpha 81.29
_cell_angle_beta 72.35
_cell_angle_gamma 60.05
loop_
_space_group_symop_operation_xyz
'x,y,z'
loop_
_atom_site_label
_atom_site_type_symbol
_atom_site_fract_x
_atom_site_fract_y
_atom_site_fract_z
La1 La 0.600 0.332 0.199
La2 La 0.068 0.332 0.801
Ir1 Ir 0.331 0.338 0.000
La3 La 0.932 0.668 0.199
La4 La 0.732 0.000 0.803
Ir2 Ir 0.669 0.662 0.000
Br1 Br 0.833 0.333 0.500
Ir3 Ir 0.000 0.000 0.000
Br2 Br 0.167 0.667 0.500
La5 La 0.400 0.668 0.801
La6 La 0.268 0.000 0.197

Q: Look up the theoretical density of the fourth one.
A: 14.5 Mg/m³

What did the first record say?
# LaIr2Br PBE relaxed
# Energy relative to the elements, uncorrected = -0.032 eV per atom
# Space group = C2/m (12)
# Theoretical density = 11.7 Mg/m³
# Crystal system = monoclinic
# Volume = 21.336 A^3/atom
data_LaIr2Br
_chemical_formula_sum 'La1 Ir2 Br1'
_space_group_name_H-M_alt 'P 1'
_space_group_IT_number 1
_cell_length_a 5.593
_cell_length_b 5.593
_cell_length_c 4.844
_cell_angle_alpha 86.40
_cell_angle_beta 86.40
_cell_angle_gamma 34.37
loop_
_space_group_symop_operation_xyz
'x,y,z'
loop_
_atom_site_label
_atom_site_type_symbol
_atom_site_fract_x
_atom_site_fract_y
_atom_site_fract_z
Ir1 Ir 0.475 0.475 0.544
La1 La 0.750 0.750 0.750
Ir2 Ir 0.025 0.025 0.956
Br1 Br 0.250 0.250 0.250

Q: Among the records above, which one has the highest energy relative to the elements, uncorrected?
A: LaIr4Br